Below is an optimized crystal structure of VOF3, with properties calculated at the PBE with a Hubbard U level.

abc: 13.7107 4.6859 4.6556
angles: 90.00 109.39 90.00
Space group C2 (No. 5)
Unique sites:
V 0.1858 0.0000 0.1620
O 0.2008 0.7573 0.9208
F 0.0910 0.8535 0.2943
F 0.0986 0.2427 0.9182
F 0.2082 0.3540 0.4950

density	2.918	g cm⁻³
crystal system	monoclinic
energy	-5.879	eV/atom